Entry 1:
Compound: Pr3Mg2Pd6
Source: the Alexandria database
Functional: GGA-PBE
Structure: relaxed

* crystal system: cubic
* E_form: -0.736 eV/atom
* DFT total energy: -113.6 eV/cell
* magnetic moment: 0.000 μB per atom

```
Pr3Mg2Pd6
1.0
7.999 0.000 -2.828
-4.000 6.928 -2.828
0.000 0.000 8.485
Pr Mg Pd
6 4 12
direct
0.700 0.000 0.700
0.300 0.000 0.300
0.000 0.300 0.300
0.000 0.700 0.700
0.300 0.300 0.000
0.700 0.700 0.000
0.000 0.500 0.000
0.500 0.000 0.000
0.000 0.000 0.500
0.500 0.500 0.500
0.664 0.328 0.664
0.664 0.000 0.336
0.336 0.000 0.664
0.336 0.672 0.336
0.000 0.664 0.336
0.672 0.336 0.336
0.328 0.664 0.664
0.000 0.336 0.664
0.336 0.664 0.000
0.664 0.664 0.328
0.336 0.336 0.672
0.664 0.336 0.000
```

Entry 2:
Compound: PrMg2Pd2
Source: the Alexandria database
Functional: GGA-PBE
Structure: relaxed

* crystal system: tetragonal
* E_form: -0.640 eV/atom
* excess energy over the best structure of this formula in the dataset: 0.000 eV/atom
* DFT total energy: -21.6 eV/cell
* magnetic moment: 0.000 μB per atom

```
PrMg2Pd2
1.0
3.862 0.000 -1.540
-0.614 3.813 -1.540
0.487 0.571 6.831
Pr Mg Pd
1 2 2
direct
0.000 0.000 0.000
0.750 0.250 0.500
0.250 0.750 0.500
0.610 0.610 0.220
0.390 0.390 0.780
```

Entry 3:
Compound: PrMgPd
Source: the Alexandria database
Functional: GGA-PBE
Structure: relaxed

* crystal system: cubic
* E_form: -0.471 eV/atom
* DFT total energy: -13.0 eV/cell
* magnetic moment: 0.000 μB per atom

```
PrMgPd
1.0
4.844 0.000 0.000
2.422 4.195 0.000
2.422 1.398 3.955
Pr Mg Pd
1 1 1
direct
0.500 0.500 0.500
0.000 0.000 0.000
0.250 0.250 0.250
```

Entry 4:
Compound: Pr2Mg2Pd15
Source: the Alexandria database
Functional: GGA-PBE
Structure: relaxed

* crystal system: trigonal
* E_form: -0.467 eV/atom
* DFT total energy: -99.5 eV/cell
* magnetic moment: 0.000 μB per atom

```
Pr2Mg2Pd15
1.0
-1.950 -6.050 -3.018
5.359 -0.731 -4.501
3.976 -4.413 3.772
Pr Mg Pd
2 2 15
direct
0.349 0.349 0.349
0.651 0.651 0.651
0.100 0.100 0.100
0.900 0.900 0.900
0.500 0.000 0.000
0.000 0.000 0.500
0.000 0.500 0.000
0.000 0.697 0.303
0.697 0.303 0.000
0.303 0.000 0.697
0.303 0.697 0.000
0.697 0.000 0.303
0.000 0.303 0.697
0.155 0.653 0.653
0.653 0.653 0.155
0.653 0.155 0.653
0.845 0.347 0.347
0.347 0.347 0.845
0.347 0.845 0.347
```

Entry 5:
Compound: PrMg3Pd
Source: the Alexandria database
Functional: GGA-PBE
Structure: relaxed

* crystal system: orthorhombic
* E_form: -0.404 eV/atom
* excess energy over the best structure of this formula in the dataset: 0.000 eV/atom
* DFT total energy: -33.6 eV/cell
* magnetic moment: 0.000 μB per atom

```
PrMg3Pd
1.0
-4.133 -1.070 -0.502
1.903 -7.419 0.141
-1.528 2.600 7.042
Pr Mg Pd
2 6 2
direct
0.500 0.710 0.290
0.500 0.290 0.710
0.500 0.000 0.000
0.000 0.070 0.321
0.000 0.930 0.679
0.000 0.679 0.930
0.000 0.500 0.500
0.000 0.321 0.070
0.500 0.309 0.309
0.500 0.691 0.691
```

Entry 6:
Compound: Pr3Mg7Pd2
Source: the Alexandria database
Functional: GGA-PBE
Structure: relaxed

* crystal system: trigonal
* E_form: -0.310 eV/atom
* DFT total energy: -39.6 eV/cell
* magnetic moment: 0.000 μB per atom

```
Pr3Mg7Pd2
1.0
-1.766 -0.585 -5.734
-2.250 -5.245 -1.941
-9.906 0.861 -0.207
Pr Mg Pd
3 7 2
direct
0.000 0.000 0.000
0.852 0.852 0.444
0.148 0.148 0.556
0.500 0.500 0.500
0.926 0.425 0.223
0.425 0.926 0.223
0.425 0.425 0.223
0.074 0.575 0.777
0.575 0.575 0.777
0.575 0.074 0.777
0.667 0.667 0.000
0.333 0.333 0.000
```

Entry 7:
Compound: Pr2MgPd3
Source: the Alexandria database
Functional: GGA-PBE
Structure: relaxed

* crystal system: orthorhombic
* E_form: -0.584 eV/atom
* DFT total energy: -30.2 eV/cell
* magnetic moment: 0.000 μB per atom

```
Pr2MgPd3
1.0
4.486 0.000 0.000
0.000 5.710 0.000
-2.243 -2.855 5.551
Pr Mg Pd
2 1 3
direct
0.680 0.180 0.360
0.320 0.820 0.640
0.000 0.500 0.000
0.371 0.371 0.742
0.000 0.000 0.000
0.629 0.629 0.258
```

Entry 8:
Compound: PrMg2Pd2
Source: the Alexandria database
Functional: GGA-PBE
Structure: relaxed

* crystal system: monoclinic
* E_form: -0.614 eV/atom
* excess energy over the best structure of this formula in the dataset: 0.025 eV/atom
* DFT total energy: -42.9 eV/cell
* magnetic moment: 0.000 μB per atom

```
PrMg2Pd2
1.0
-4.466 -1.843 0.062
1.192 -3.023 -3.976
2.291 -5.330 6.619
Pr Mg Pd
2 4 4
direct
0.250 0.819 0.221
0.750 0.181 0.779
0.250 0.716 0.844
0.750 0.284 0.156
0.250 0.351 0.490
0.750 0.649 0.510
0.250 0.883 0.575
0.750 0.117 0.425
0.250 0.279 0.999
0.750 0.721 0.001
```

Entry 9:
Compound: PrMg9Pd3
Source: the Alexandria database
Functional: GGA-PBE
Structure: relaxed

* crystal system: monoclinic
* E_form: -0.398 eV/atom
* DFT total energy: -39.9 eV/cell
* magnetic moment: 0.000 μB per atom

```
PrMg9Pd3
1.0
-5.154 -1.131 -1.961
-2.871 -5.605 3.493
-5.358 3.834 3.793
Pr Mg Pd
1 9 3
direct
0.000 0.000 0.000
0.705 0.786 0.775
0.295 0.214 0.225
0.521 0.214 0.775
0.479 0.786 0.225
0.665 0.327 0.356
0.335 0.673 0.644
0.979 0.673 0.356
0.021 0.327 0.644
0.000 0.500 0.000
0.500 0.500 0.000
0.000 0.000 0.500
0.500 0.000 0.500
```

Entry 10:
Compound: Pr6MgPd2
Source: the Alexandria database
Functional: GGA-PBE
Structure: relaxed

* crystal system: orthorhombic
* E_form: -0.354 eV/atom
* DFT total energy: -87.7 eV/cell
* magnetic moment: 0.000 μB per atom

```
Pr6MgPd2
1.0
-5.044 -2.725 -6.863
7.122 -5.213 1.432
-4.635 -0.342 7.639
Pr Mg Pd
12 2 4
direct
0.530 0.712 0.818
0.470 0.288 0.182
0.106 0.288 0.818
0.894 0.712 0.182
0.804 0.762 0.565
0.196 0.238 0.435
0.196 0.762 0.958
0.804 0.238 0.042
0.697 0.374 0.677
0.303 0.626 0.323
0.303 0.979 0.677
0.697 0.021 0.323
0.000 0.500 0.500
0.000 0.000 0.000
0.500 0.372 0.872
0.500 0.628 0.128
0.657 0.000 0.657
0.343 0.000 0.343
```

Entry 11:
Compound: PrMg3Pd
Source: the Alexandria database
Functional: GGA-PBE
Structure: relaxed

* crystal system: orthorhombic
* E_form: -0.381 eV/atom
* excess energy over the best structure of this formula in the dataset: 0.023 eV/atom
* DFT total energy: -66.6 eV/cell
* magnetic moment: 0.000 μB per atom

```
PrMg3Pd
1.0
-0.013 -2.891 3.081
0.625 -6.773 -6.355
12.083 0.568 0.584
Pr Mg Pd
4 12 4
direct
0.750 0.822 0.991
0.250 0.678 0.491
0.750 0.322 0.509
0.250 0.178 0.009
0.250 0.547 0.082
0.750 0.453 0.918
0.250 0.047 0.418
0.750 0.953 0.582
0.250 0.403 0.731
0.750 0.097 0.231
0.250 0.903 0.769
0.750 0.653 0.717
0.250 0.347 0.283
0.750 0.153 0.783
0.750 0.597 0.269
0.250 0.847 0.217
0.250 0.138 0.634
0.250 0.638 0.866
0.750 0.362 0.134
0.750 0.862 0.366
```

Entry 12:
Compound: PrMgPdPt
Source: the Alexandria database
Functional: GGA-PBE
Structure: relaxed

* crystal system: trigonal
* E_form: -0.859 eV/atom
* excess energy over the best structure of this formula in the dataset: 0.000 eV/atom
* DFT total energy: -21.0 eV/cell
* magnetic moment: 0.000 μB per atom

```
PrMgPdPt
1.0
4.543 0.000 0.000
-2.271 3.933 -0.004
0.000 -2.620 4.805
Pr Mg Pd Pt
1 1 1 1
direct
0.615 0.230 0.488
0.119 0.237 0.998
0.401 0.803 0.847
0.831 0.662 0.135
```

Entry 13:
Compound: PrMgPdPt
Source: the Alexandria database
Functional: GGA-PBE
Structure: relaxed

* crystal system: cubic
* E_form: -0.785 eV/atom
* excess energy over the best structure of this formula in the dataset: 0.074 eV/atom
* DFT total energy: -20.7 eV/cell
* magnetic moment: 0.000 μB per atom

```
PrMgPdPt
1.0
4.899 0.000 0.000
2.450 4.243 0.000
2.450 1.414 4.000
Pr Mg Pd Pt
1 1 1 1
direct
0.500 0.500 0.500
0.000 0.000 0.000
0.750 0.750 0.750
0.250 0.250 0.250
```

Entry 14:
Compound: PrMgPdRh
Source: the Alexandria database
Functional: GGA-PBE
Structure: relaxed

* crystal system: cubic
* E_form: -0.582 eV/atom
* DFT total energy: -21.2 eV/cell
* magnetic moment: 0.000 μB per atom

```
PrMgPdRh
1.0
-0.862 -0.087 4.761
-4.437 -1.027 1.637
-0.842 -4.212 2.230
Pr Mg Rh Pd
1 1 1 1
direct
0.250 0.250 0.250
0.750 0.750 0.750
0.500 0.500 0.500
0.000 0.000 0.000
```

Entry 15:
Compound: Pr2MgSb3Pd4
Source: the Alexandria database
Functional: GGA-PBE
Structure: relaxed

* crystal system: tetragonal
* formation energy from raw total energies: -869.9 meV/atom
* DFT total energy: -53.0 eV/cell
* magnetic moment: 0.000 μB per atom

```
Pr2MgSb3Pd4
1.0
4.459 0.000 0.000
0.000 4.459 0.000
0.000 0.000 11.212
Pr Mg Sb Pd
2 1 3 4
direct
0.500 0.000 0.235
0.000 0.500 0.765
0.500 0.500 0.500
0.000 0.000 0.500
0.500 0.000 0.864
0.000 0.500 0.136
0.500 0.500 0.000
0.000 0.000 0.000
0.500 0.000 0.633
0.000 0.500 0.367
```

Entry 16:
Compound: Pr2MgSb4Pd3
Source: the Alexandria database
Functional: GGA-PBE
Structure: relaxed

* crystal system: tetragonal
* formation energy from raw total energies: -764.1 meV/atom
* DFT total energy: -50.9 eV/cell
* magnetic moment: 0.000 μB per atom

```
Pr2MgSb4Pd3
1.0
4.499 0.000 0.000
0.000 4.499 0.000
0.000 0.000 11.696
Pr Mg Sb Pd
2 1 4 3
direct
0.500 0.000 0.248
0.000 0.500 0.752
0.500 0.500 0.500
0.500 0.500 0.000
0.000 0.000 0.000
0.500 0.000 0.644
0.000 0.500 0.356
0.000 0.000 0.500
0.500 0.000 0.867
0.000 0.500 0.133
```

Entry 17:
Compound: PrMgSc2Pd4
Source: the Alexandria database
Functional: GGA-PBE
Structure: relaxed

* crystal system: trigonal
* E_form: -0.785 eV/atom
* DFT total energy: -46.1 eV/cell
* magnetic moment: 0.000 μB per atom

```
PrMgSc2Pd4
1.0
4.609 0.000 0.000
2.305 3.992 0.000
2.305 1.331 8.584
Pr Mg Sc Pd
1 1 2 4
direct
0.000 0.000 0.000
0.500 0.500 0.500
0.761 0.761 0.716
0.239 0.239 0.284
0.396 0.396 0.812
0.871 0.871 0.386
0.129 0.129 0.614
0.604 0.604 0.188
```

Entry 18:
Compound: PrMg2Si2Pd
Source: the Alexandria database
Functional: GGA-PBE
Structure: relaxed

* crystal system: tetragonal
* formation energy from raw total energies: -66.8 meV/atom
* DFT total energy: -24.4 eV/cell
* magnetic moment: 0.000 μB per atom

```
PrMg2Si2Pd
1.0
-1.036 5.004 0.274
0.060 -0.268 5.110
5.797 -1.268 -2.696
Pr Mg Si Pd
1 2 2 1
direct
0.500 0.500 0.000
0.250 0.750 0.500
0.750 0.250 0.500
0.789 0.789 0.578
0.211 0.211 0.422
0.000 0.000 0.000
```

Entry 19:
Compound: Pr3MgSi6Pd2
Source: the Alexandria database
Functional: GGA-PBE
Structure: relaxed

* crystal system: trigonal
* formation energy from raw total energies: -423.0 meV/atom
* DFT total energy: -63.9 eV/cell
* magnetic moment: 0.000 μB per atom

```
Pr3MgSi6Pd2
1.0
-3.348 0.317 4.933
-1.523 -3.728 -4.407
4.526 -5.933 3.454
Pr Mg Si Pd
3 1 6 2
direct
0.333 0.667 0.629
0.667 0.333 0.371
0.000 0.000 0.000
0.000 0.000 0.500
0.602 0.801 0.281
0.199 0.398 0.281
0.199 0.801 0.281
0.801 0.602 0.719
0.398 0.199 0.719
0.801 0.199 0.719
0.667 0.333 0.969
0.333 0.667 0.031
```

Entry 20:
Compound: Pr2MgSi3Pd4
Source: the Alexandria database
Functional: GGA-PBE
Structure: relaxed

* crystal system: tetragonal
* formation energy from raw total energies: -856.3 meV/atom
* DFT total energy: -56.8 eV/cell
* magnetic moment: 0.000 μB per atom

```
Pr2MgSi3Pd4
1.0
4.299 0.000 0.000
0.000 4.299 0.000
0.000 0.000 10.188
Pr Mg Si Pd
2 1 3 4
direct
0.500 0.000 0.244
0.000 0.500 0.756
0.500 0.500 0.500
0.000 0.000 0.500
0.500 0.000 0.874
0.000 0.500 0.126
0.500 0.500 0.000
0.000 0.000 0.000
0.500 0.000 0.637
0.000 0.500 0.363
```

Entry 21:
Compound: Pr2MgSi4Pd3
Source: the Alexandria database
Functional: GGA-PBE
Structure: relaxed

* crystal system: tetragonal
* formation energy from raw total energies: -794.1 meV/atom
* DFT total energy: -56.4 eV/cell
* magnetic moment: 0.000 μB per atom

```
Pr2MgSi4Pd3
1.0
4.250 0.000 0.000
0.000 4.250 0.000
0.000 0.000 10.417
Pr Mg Si Pd
2 1 4 3
direct
0.500 0.000 0.240
0.000 0.500 0.760
0.500 0.500 0.500
0.500 0.500 0.000
0.000 0.000 0.000
0.500 0.000 0.649
0.000 0.500 0.351
0.000 0.000 0.500
0.500 0.000 0.884
0.000 0.500 0.116
```

Entry 22:
Compound: PrMgSi2Pd5
Source: the Alexandria database
Functional: GGA-PBE
Structure: relaxed

* crystal system: tetragonal
* formation energy from raw total energies: -692.8 meV/atom
* DFT total energy: -49.4 eV/cell
* magnetic moment: 0.000 μB per atom

```
PrMgSi2Pd5
1.0
4.223 0.000 0.000
0.000 4.223 0.000
0.000 0.000 8.857
Pr Mg Si Pd
1 1 2 5
direct
0.000 0.000 0.500
0.000 0.000 0.000
0.500 0.500 0.129
0.500 0.500 0.871
0.000 0.500 0.254
0.500 0.000 0.254
0.000 0.500 0.746
0.500 0.000 0.746
0.500 0.500 0.500
```